This record from Alexandria describes a relaxed ScCo2O4 crystal. The functional is GGA+U.

a b c (Å): 3.1641 5.0522 5.5574
angles (deg): 65.56 79.48 86.80
Fractional coordinates of all 7 atoms:
Sc 0.0000 0.0000 0.0000
Co 0.3714 0.3090 0.4200
Co 0.6286 0.6910 0.5800
O 0.1187 0.4451 0.7267
O 0.4230 0.0323 0.2495
O 0.5770 0.9677 0.7505
O 0.8813 0.5549 0.2733

Space-group type: P-1 (2)
VASP energy (eV/atom): -7.016